1.
Y2ZnFeB PBE-GGA optimized geometry; magnetic moment = 1.5 μB/f.u.; E_tot = -5.68 eV/atom
1.0
5.068 0.000 0.000
0.000 5.068 0.000
0.000 0.000 3.939
Y Zn Fe B
2 1 1 1
Cartesian
0.000 2.534 0.000
2.534 0.000 0.000
0.000 0.000 1.969
2.534 2.534 1.969
0.000 0.000 0.000

***

2.
Tm2ZrCu PBE-GGA optimized geometry; magnetic moment = 0.0 μB/f.u.; E_tot = -5.51 eV/atom
1.0
3.345 0.000 0.000
0.000 3.345 0.000
0.000 0.000 8.245
Tm Zr Cu
2 1 1
Cartesian
0.000 0.000 1.790
0.000 0.000 6.455
1.673 1.673 4.123
1.673 1.673 0.000

***

3.
KHgRh2 PBE-GGA optimized geometry; magnetic moment = 1.4 μB/f.u.; E_tot = -3.46 eV/atom
1.0
3.472 0.000 0.000
0.000 3.472 0.000
0.000 0.000 7.360
K Hg Rh
1 1 2
Cartesian
0.000 0.000 0.000
0.000 0.000 3.680
1.736 1.736 2.353
1.736 1.736 5.007